VASP calculation (PBE) on an optimized crystal structure of Pu6Tc2Pd. Values from VASP.

Computed properties:
calculated formation energy = 193 meV per atom
magnetic moment = 0.00 μB/f.u.
calculated density = 19.6 g cm⁻³
V = 16.615 A^3/atom

Cell and atoms, written as Quantum ESPRESSO input:
```
&SYSTEM
  ibrav = 0, nat = 9, ntyp = 3
/
ATOMIC_SPECIES
Pu 244.00 Pu.upf
Tc 98.00 Tc.upf
Pd 106.42 Pd.upf
CELL_PARAMETERS angstrom
2.9363 0.0000 0.0000
0.0000 7.6684 0.0000
0.0000 -3.8342 6.6411
ATOMIC_POSITIONS crystal
Pu 0.0863 0.6567 0.6567
Pu 0.0863 0.0000 0.3433
Pu 0.0863 0.3433 0.0000
Pu 0.9137 0.3433 0.3433
Pu 0.9137 0.0000 0.6567
Pu 0.9137 0.6567 0.0000
Tc 0.5000 0.6667 0.3333
Tc 0.5000 0.3333 0.6667
Pd 0.5000 0.0000 0.0000
```